Record 1
## Pm5SmRh6 (PBE-GGA)

Data for Pm5SmRh6 after structural relaxation.

abc: 5.004 6.933 7.906
angles: 90.00 108.33 90.00
Space group P2/m (No. 10)
Inequivalent atoms, fractional coordinates:
Pm 0.000 0.000 0.000 [1 per cell]
Pm 0.333 0.000 0.667 [2 per cell]
Pm 0.334 0.500 0.667 [2 per cell]
Sm 0.000 0.500 0.000 [1 per cell]
Rh 0.166 0.250 0.332 [4 per cell]
Rh 0.500 0.251 0.000 [2 per cell]

Computed properties:
Formation enthalpy at 0 K, eV/atom: -0.691
DFT total energy, eV for the cell shown: -80.9
V, Å³ per atom: 21.698



Record 2
## PmSm5Rh6 (PBE-GGA)

Data for PmSm5Rh6 after structural relaxation.

abc: 4.982 14.942 6.925
angles: 90.00 90.00 90.00
Space group Cmmm (No. 65)
Inequivalent atoms, fractional coordinates:
Pm 0.000 0.000 0.000 [2 per cell]
Sm 0.000 0.000 0.500 [2 per cell]
Sm 0.000 0.333 0.000 [4 per cell]
Sm 0.000 0.333 0.500 [4 per cell]
Rh 0.000 0.167 0.250 [8 per cell]
Rh 0.000 0.500 0.251 [4 per cell]

Computed properties:
Formation enthalpy at 0 K, eV/atom: -0.714
DFT total energy, eV for the cell shown: -162.0
V, Å³ per atom: 21.481



Record 3
## PmSm3Rh (PBE-GGA)

Data for PmSm3Rh after structural relaxation.

abc: 5.533 5.533 5.533
angles: 90.00 90.00 90.00
Space group Pm-3m (No. 221)
Inequivalent atoms, fractional coordinates:
Pm 0.000 0.000 0.000 [1 per cell]
Sm 0.000 0.500 0.500 [3 per cell]
Rh 0.500 0.500 0.500 [1 per cell]

Computed properties:
Formation enthalpy at 0 K, eV/atom: -0.166
DFT total energy, eV for the cell shown: -27.1
V, Å³ per atom: 33.870



Number 3 is which compound? PmSm3Rh